[1]
RbAgPbS2: optimized geometry, GGA-PBE.

Summary:
The calculation puts the uncorrected formation energy at -0.54 eV/atom. The space group is Cmme. The calculated total energy comes out at -3.6938 eV per atom. The crystal system is orthorhombic.

a = 8.437 Å, b = 8.437 Å, c = 5.767 Å
α = 90.00°, β = 90.00°, γ = 127.93°
Sites, in units of the cell vectors:
Rb 0.250 0.750 0.768
Rb 0.750 0.250 0.232
Ag 0.000 0.000 0.000
Ag 0.500 0.500 0.000
Pb 0.250 0.250 0.500
Pb 0.750 0.750 0.500
S 0.120 0.880 0.264
S 0.380 0.620 0.264
S 0.620 0.380 0.736
S 0.880 0.120 0.736

=====

[2]
Rb2Ag3Sb4Pb: optimized geometry, GGA-PBE.

Summary:
The calculation puts the uncorrected formation energy at -0.15 eV/atom. The space group is P-4m2. The calculated total energy comes out at -3.2183 eV per atom. The crystal system is tetragonal. The density of states at the Fermi level is 0.558 states/eV per atom.

a = 4.989 Å, b = 4.989 Å, c = 12.171 Å
α = 90.00°, β = 90.00°, γ = 90.00°
Sites, in units of the cell vectors:
Rb 0.000 0.500 0.246
Rb 0.500 0.000 0.754
Ag 0.000 0.500 0.875
Ag 0.500 0.000 0.125
Ag 0.500 0.500 0.500
Sb 0.000 0.000 0.000
Sb 0.000 0.500 0.641
Sb 0.500 0.000 0.359
Sb 0.500 0.500 0.000
Pb 0.000 0.000 0.500

=====

[3]
Rb2AgPbSe: optimized geometry, GGA-PBE.

Summary:
The calculation puts the uncorrected formation energy at -0.06 eV/atom. The space group is P4/mmm. The calculated total energy comes out at -2.4527 eV per atom. The crystal system is tetragonal. The density of states at the Fermi level is 0.693 states/eV per atom.

a = 6.931 Å, b = 6.931 Å, c = 4.784 Å
α = 90.00°, β = 90.00°, γ = 90.00°
Sites, in units of the cell vectors:
Rb 0.000 0.500 0.000
Rb 0.500 0.000 0.000
Ag 0.000 0.000 0.000
Pb 0.500 0.500 0.500
Se 0.000 0.000 0.500

=====

[4]
RbSiAgPb2: optimized geometry, GGA-PBE.

Summary:
The calculation puts the uncorrected formation energy at 0.39 eV/atom. The space group is P4/mmm. The calculated total energy comes out at -2.9442 eV per atom. The crystal system is tetragonal. The density of states at the Fermi level is 0.506 states/eV per atom.

a = 5.859 Å, b = 5.859 Å, c = 4.842 Å
α = 90.00°, β = 90.00°, γ = 90.00°
Sites, in units of the cell vectors:
Rb 0.000 0.000 0.000
Si 0.500 0.500 0.000
Ag 0.500 0.500 0.500
Pb 0.000 0.500 0.500
Pb 0.500 0.000 0.500

=====

[5]
Rb2AgSn4Pb3: optimized geometry, GGA-PBE.

Summary:
The space group is P-4m2. For the formation energy, the calculation gives -0.064 eV per atom. The calculated total energy comes out at -3.2563 eV per atom. The crystal system is tetragonal. The density of states at the Fermi level is 0.661 states/eV per atom.

a = 5.102 Å, b = 5.102 Å, c = 13.429 Å
α = 90.00°, β = 90.00°, γ = 90.00°
Sites, in units of the cell vectors:
Rb 0.000 0.500 0.240
Rb 0.500 0.000 0.760
Ag 0.500 0.500 0.000
Sn 0.000 0.000 0.500
Sn 0.000 0.500 0.879
Sn 0.500 0.000 0.121
Sn 0.500 0.500 0.500
Pb 0.000 0.000 0.000
Pb 0.000 0.500 0.638
Pb 0.500 0.000 0.362

=====

[6]
RbSrAgPb2: optimized geometry, GGA-PBE.

Summary:
The space group is P4/mmm. For the formation energy, the calculation gives 0.736 eV per atom. The calculated total energy comes out at -1.8470 eV per atom. The crystal system is tetragonal. The density of states at the Fermi level is 1.065 states/eV per atom.

a = 6.204 Å, b = 6.204 Å, c = 6.668 Å
α = 90.00°, β = 90.00°, γ = 90.00°
Sites, in units of the cell vectors:
Rb 0.000 0.000 0.000
Sr 0.000 0.000 0.500
Ag 0.500 0.500 0.000
Pb 0.000 0.500 0.500
Pb 0.500 0.000 0.500

=====

[7]
RbTcAg2Pb: optimized geometry, GGA-PBE.

Summary:
The space group is P4/mmm. For the formation energy, the calculation gives 0.633 eV per atom. The calculated total energy comes out at -3.5156 eV per atom. The crystal system is tetragonal. The density of states at the Fermi level is 0.760 states/eV per atom.

a = 5.403 Å, b = 5.403 Å, c = 5.246 Å
α = 90.00°, β = 90.00°, γ = 90.00°
Sites, in units of the cell vectors:
Rb 0.000 0.000 0.000
Tc 0.500 0.500 0.500
Ag 0.000 0.500 0.500
Ag 0.500 0.000 0.500
Pb 0.500 0.500 0.000

=====

[8]
RbAgTePb2: optimized geometry, GGA-PBE.

Summary:
The calculation puts the uncorrected formation energy at 0.01 eV/atom. The space group is P4/mmm. The calculated total energy comes out at -2.8669 eV per atom. The crystal system is tetragonal. The density of states at the Fermi level is 0.347 states/eV per atom.

a = 5.585 Å, b = 5.585 Å, c = 5.929 Å
α = 90.00°, β = 90.00°, γ = 90.00°
Sites, in units of the cell vectors:
Rb 0.000 0.000 0.000
Ag 0.500 0.500 0.500
Te 0.500 0.500 0.000
Pb 0.000 0.500 0.500
Pb 0.500 0.000 0.500

=====

The lowest calculated total energy belongs to which entry? RbAgPbS2